Entry 1:
Below is a relaxed CaZnAs crystal, with properties calculated at the PBE-GGA level.

Lattice parameters (Å, degrees): 4.7605 4.7605 4.7605 60.00 60.00 60.00
Last column: nearest neighbours and their distance in Å.
Atoms (fractional coordinates):
Ca 0.0000 0.0000 0.0000  4 As 2.92
Zn 0.5000 0.5000 0.5000  4 As 2.92
As 0.2500 0.2500 0.2500  4 Ca 2.92, 4 Zn 2.92

The value obtained for the energy of formation is -444 meV per atom. As for the density: 3.93 Mg/m³. The density of states at the Fermi level comes out at 0.93 states/eV per atom. The spin magnetization comes out at 0.00 μB/cell.

---

Entry 2:
Below is a relaxed CaZnAs4 crystal, with properties calculated at the PBE-GGA level.

Lattice parameters (Å, degrees): 5.6834 5.6834 5.6834 60.00 60.00 60.00
Last column: nearest neighbours and their distance in Å.
Atoms (fractional coordinates):
Ca 0.0000 0.0000 0.0000  12 As 3.34, 4 Zn 3.48
Zn 0.7500 0.7500 0.7500  12 As 3.32, 4 Ca 3.48
As 0.3783 0.3783 0.3783  6 As 2.77-2.92
As 0.3783 0.3783 0.8652  6 As 2.77-2.92
As 0.3783 0.8652 0.3783  6 As 2.77-2.92
As 0.8652 0.3783 0.3783  6 As 2.77-2.92

The value obtained for the energy of formation is -86 meV per atom. As for the density: 5.18 Mg/m³. The density of states at the Fermi level comes out at 0.50 states/eV per atom. The spin magnetization comes out at 0.00 μB/cell.

---

Entry 3:
Below is a relaxed CaZn2As crystal, with properties calculated at the PBE-GGA level.

Lattice parameters (Å, degrees): 4.1186 4.1186 4.7147 90.00 90.00 90.00
Last column: nearest neighbours and their distance in Å.
Atoms (fractional coordinates):
Ca 0.0000 0.0000 0.0000  4 As 2.91, 8 Zn 3.13
Zn 0.0000 0.5000 0.5000  4 Zn 2.91, 4 As 3.13, 4 Ca 3.13
Zn 0.5000 0.0000 0.5000  4 Zn 2.91, 4 As 3.13, 4 Ca 3.13
As 0.5000 0.5000 0.0000  4 Ca 2.91, 8 Zn 3.13

The value obtained for the energy of formation is -350 meV per atom. As for the density: 5.10 Mg/m³. The density of states at the Fermi level comes out at 0.50 states/eV per atom. The spin magnetization comes out at 0.00 μB/cell.

---

Entry 4:
Below is a relaxed CaZnAs crystal, with properties calculated at the PBE-GGA level.

Lattice parameters (Å, degrees): 4.2513 4.2513 4.2397 90.00 90.00 120.00
Last column: nearest neighbours and their distance in Å.
Atoms (fractional coordinates):
Ca 0.0000 0.0000 0.0000  6 Zn 3.24, 6 As 3.24
Zn 0.3333 0.6667 0.5000  3 As 2.45
As 0.6667 0.3333 0.5000  3 Zn 2.45

The value obtained for the energy of formation is -656 meV per atom. As for the density: 4.51 Mg/m³. The density of states at the Fermi level comes out at 0.33 states/eV per atom. The spin magnetization comes out at 0.00 μB/cell.

---

Entry 5:
Below is a relaxed CaZn2As crystal, with properties calculated at the PBE-GGA level.

Lattice parameters (Å, degrees): 6.4790 6.4790 6.4790 37.49 37.49 37.49
Last column: nearest neighbours and their distance in Å.
Atoms (fractional coordinates):
Ca 0.0000 0.0000 0.0000  6 Zn 3.08
Zn 0.2269 0.2269 0.2269  3 As 2.64
Zn 0.7731 0.7731 0.7731  3 As 2.64
As 0.5000 0.5000 0.5000  6 Zn 2.64

The value obtained for the energy of formation is -230 meV per atom. As for the density: 4.52 Mg/m³. The density of states at the Fermi level comes out at 0.55 states/eV per atom. The spin magnetization comes out at 0.00 μB/cell.

---

Entry 6:
Below is a relaxed CaZnAs3 crystal, with properties calculated at the PBE-GGA level.

Lattice parameters (Å, degrees): 5.3485 5.3485 5.3485 90.00 90.00 90.00
Last column: nearest neighbours and their distance in Å.
Atoms (fractional coordinates):
Ca 0.0000 0.0000 0.0000  6 As 2.67
Zn 0.5000 0.5000 0.5000  12 As 3.78
As 0.0000 0.0000 0.5000  2 Ca 2.67
As 0.0000 0.5000 0.0000  2 Ca 2.67
As 0.5000 0.0000 0.0000  2 Ca 2.67

The value obtained for the energy of formation is 824 meV per atom. As for the density: 3.58 Mg/m³. The density of states at the Fermi level comes out at 0.68 states/eV per atom. The spin magnetization comes out at 0.00 μB/cell. The value obtained for the energy above the most stable polymorph in this dataset is 0.7868 eV per atom.

---

Entry 7:
Below is a relaxed CaZn2As crystal, with properties calculated at the PBE-GGA level.

Lattice parameters (Å, degrees): 6.1806 6.1806 6.1806 39.48 39.48 39.48
Last column: nearest neighbours and their distance in Å.
Atoms (fractional coordinates):
Ca 0.0000 0.0000 0.0000  3 Zn 3.03, 3 As 3.03
Zn 0.2262 0.2262 0.2262  3 Zn 2.61
Zn 0.5006 0.5006 0.5006  3 Zn 2.61, 3 As 2.61
As 0.7746 0.7746 0.7746  3 Zn 2.61

The value obtained for the energy of formation is -380 meV per atom. As for the density: 4.75 Mg/m³. The density of states at the Fermi level comes out at 0.20 states/eV per atom. The spin magnetization comes out at 0.00 μB/cell.

---

Entry 8:
Below is a relaxed CaZnAs crystal, with properties calculated at the PBE-GGA level.

Lattice parameters (Å, degrees): 5.7251 5.7251 5.7251 144.88 142.31 52.46
Last column: nearest neighbours and their distance in Å.
Atoms (fractional coordinates):
Ca 0.0000 0.0000 0.0000  5 Zn 3.13-3.23, 5 As 3.18-3.20, 2 Ca 3.45
Zn 0.6948 0.6948 0.0000  4 As 2.79
As 0.3095 0.3095 0.0000  4 Zn 2.79

The value obtained for the energy of formation is -399 meV per atom. As for the density: 4.57 Mg/m³. The density of states at the Fermi level comes out at 0.36 states/eV per atom. The spin magnetization comes out at 0.00 μB/cell.

---

Entry 9:
Below is a relaxed Ca2ZnAs2 crystal, with properties calculated at the PBE-GGA level.

Lattice parameters (Å, degrees): 7.4084 7.4084 4.2415 90.00 90.00 90.00
Last column: nearest neighbours and their distance in Å.
Atoms (fractional coordinates):
Ca 0.1782 0.3218 0.0000  6 As 2.98-3.10
Ca 0.3218 0.8218 0.0000  6 As 2.98-3.10
Ca 0.6782 0.1782 0.0000  6 As 2.98-3.10
Ca 0.8218 0.6782 0.0000  6 As 2.98-3.10
Zn 0.0000 0.0000 0.5000  4 As 2.94
Zn 0.5000 0.5000 0.5000  4 As 2.94
As 0.1219 0.6219 0.5000  1 As 2.55
As 0.3781 0.1219 0.5000  1 As 2.55
As 0.6219 0.8781 0.5000  1 As 2.55
As 0.8781 0.3781 0.5000  1 As 2.55

The value obtained for the energy of formation is -735 meV per atom. As for the density: 4.21 Mg/m³. The density of states at the Fermi level comes out at 0.26 states/eV per atom. The spin magnetization comes out at 0.00 μB/cell.

---

Entry 10:
Below is a relaxed CaZnAs crystal, with properties calculated at the PBE-GGA level.

Lattice parameters (Å, degrees): 4.7841 4.7841 4.7841 60.00 60.00 60.00
Last column: nearest neighbours and their distance in Å.
Atoms (fractional coordinates):
Ca 0.0000 0.0000 0.0000  4 As 2.93, 4 Zn 2.93
Zn 0.2500 0.2500 0.2500  4 Ca 2.93
As 0.7500 0.7500 0.7500  4 Ca 2.93

The value obtained for the energy of formation is -227 meV per atom. As for the density: 3.87 Mg/m³. The density of states at the Fermi level comes out at 0.70 states/eV per atom. The spin magnetization comes out at 0.00 μB/cell.

---

Entry 11:
Below is a relaxed CaZnAs crystal, with properties calculated at the PBE-GGA level.

Lattice parameters (Å, degrees): 5.4519 5.4519 6.7940 101.14 101.14 45.05
Last column: nearest neighbours and their distance in Å.
Atoms (fractional coordinates):
Ca 0.0000 0.0000 0.0000  2 Zn 2.86-3.12, 5 As 2.99-3.18
Ca 0.6872 0.6872 0.6594  4 As 2.89-3.22, 4 Zn 3.00-3.19
Zn 0.2132 0.2132 0.3525  3 As 2.57-2.60, 1 Zn 2.71, 1 Ca 2.86
Zn 0.9639 0.9639 0.4452  1 Zn 2.71, 3 As 2.72-2.76
As 0.4027 0.4027 0.6775  3 Zn 2.60-2.76, 1 Ca 2.89
As 0.7391 0.7391 0.1441  3 Zn 2.57-2.72

The value obtained for the energy of formation is -683 meV per atom. As for the density: 4.29 Mg/m³. The density of states at the Fermi level comes out at 0.00 states/eV per atom. The spin magnetization comes out at 0.00 μB/cell.

---

Entry 12:
Below is a relaxed CaZn2As crystal, with properties calculated at the PBE-GGA level.

Lattice parameters (Å, degrees): 4.1276 3.9516 5.3633 90.00 102.60 90.00
Last column: nearest neighbours and their distance in Å.
Atoms (fractional coordinates):
Ca 0.0000 0.0000 0.0000  4 As 2.89-2.96, 3 Zn 2.97-3.20
Zn 0.2358 0.5000 0.5831  4 Zn 2.79-3.09, 2 As 2.87-2.98
Zn 0.6484 0.0000 0.4545  2 As 2.64, 2 Zn 2.79
As 0.5234 0.5000 0.1200  3 Zn 2.64-2.87, 4 Ca 2.89-2.96

The value obtained for the energy of formation is -358 meV per atom. As for the density: 4.78 Mg/m³. The density of states at the Fermi level comes out at 0.31 states/eV per atom. The spin magnetization comes out at 0.00 μB/cell.